No. 1
Material: Si2NiHg
Method: DFT, PBE
State: relaxed

POSCAR file:
```
Si2NiHg
1.0
-1.984 2.081 -7.274
-2.796 -0.976 -7.239
-4.776 1.199 -6.077
Hg Si Ni
1 2 1
Direct
0.250 0.250 0.250
0.018 0.018 0.018
0.482 0.482 0.482
0.750 0.750 0.750
```

Its total moment is 0.0 Bohr magnetons per cell. For the density of states at the Fermi level, the calculation gives 1.3 states/eV/cell. The calculation puts the formation energy from raw total energies at 0.7 eV per formula unit. Its symmetry is R-3m (166).

No. 2
Material: Tb4Nd7Sc
Method: DFT, PBE
State: relaxed

POSCAR file:
```
Tb4Nd7Sc
1.0
5.946 0.000 0.000
2.973 9.089 2.014
2.973 1.799 7.944
Tb Nd Sc
4 7 1
Direct
0.425 0.697 0.452
0.325 0.397 0.953
0.675 0.603 0.047
0.575 0.303 0.548
0.202 0.782 0.814
0.921 0.432 0.726
0.079 0.568 0.274
0.500 0.000 0.000
0.793 0.873 0.542
0.207 0.127 0.458
0.798 0.218 0.186
0.000 0.000 0.000
```

Its total moment is 0.3 Bohr magnetons per cell. For the density of states at the Fermi level, the calculation gives 18.5 states/eV/cell. Its formation energy is 0.211 eV/atom. Its symmetry is C2/m (12).

No. 3
Material: PPt2Pb
Method: DFT, PBE
State: relaxed

POSCAR file:
```
PPt2Pb
1.0
-2.661 2.661 2.814
2.661 -2.661 2.814
2.661 2.661 -2.814
Pb Pt P
1 2 1
Direct
0.500 0.500 0.000
0.000 0.500 0.500
0.500 0.000 0.500
0.000 0.000 0.000
```

Its total moment is 0.0 Bohr magnetons per cell. For the density of states at the Fermi level, the calculation gives 2.9 states/eV/cell. Its formation energy is 0.160 eV/atom. Its symmetry is I4/mmm (139).

No. 4
Material: Dy2Er2Tm3
Method: DFT, PBE
State: relaxed

POSCAR file:
```
Dy2Er2Tm3
1.0
-2.929 0.536 -1.754
0.011 -8.051 -2.480
-2.506 1.876 8.162
Dy Tm Er
2 3 2
Direct
0.147 0.323 0.293
0.853 0.677 0.707
0.000 0.500 0.000
0.212 0.803 0.424
0.788 0.197 0.576
0.435 0.093 0.869
0.565 0.907 0.131
```

Its total moment is 0.0 Bohr magnetons per cell. For the density of states at the Fermi level, the calculation gives 11.2 states/eV/cell. Its formation energy is 0.118 eV/atom. Its symmetry is C2/m (12).

No. 5
Material: SiPRh2
Method: DFT, PBE
State: relaxed

POSCAR file:
```
SiPRh2
1.0
-1.465 3.696 0.894
-3.553 1.981 -0.238
-1.889 -0.723 4.579
Rh P Si
2 1 1
Direct
0.497 0.497 0.498
0.003 0.003 0.002
0.250 0.250 0.250
0.750 0.750 0.750
```

Its total moment is 0.0 Bohr magnetons per cell. For the density of states at the Fermi level, the calculation gives 2.1 states/eV/cell. The calculation puts the formation energy from raw total energies at -1.8 eV per formula unit. Its symmetry is C2/m (12).

No. 6
Material: TbPClO4
Method: DFT, PBE
State: relaxed

POSCAR file:
```
TbPClO4
1.0
-5.640 1.709 2.170
-0.868 -0.039 6.219
1.259 6.360 1.262
Tb O Cl P
2 8 2 2
Direct
0.295 0.295 0.834
0.705 0.705 0.166
0.709 0.709 0.499
0.501 0.501 0.754
0.879 0.506 0.845
0.291 0.291 0.501
0.506 0.879 0.845
0.494 0.121 0.155
0.121 0.494 0.155
0.499 0.499 0.246
0.030 0.030 0.134
0.970 0.970 0.866
0.354 0.354 0.275
0.646 0.646 0.725
```

Its total moment is 0.0 Bohr magnetons per cell. For the density of states at the Fermi level, the calculation gives 0.0 states/eV/cell. The calculation puts the formation energy from raw total energies at -17.3 eV per formula unit. Its symmetry is C2/m (12).

No. 7
Material: ScMoWBr2
Method: DFT, PBE
State: relaxed

POSCAR file:
```
ScMoWBr2
1.0
4.880 0.000 0.000
0.000 5.524 0.000
0.000 0.000 4.880
Mo Sc Br W
1 1 2 1
Direct
0.000 0.000 0.000
0.000 0.500 0.000
0.000 0.000 0.500
0.500 0.000 0.000
0.500 0.500 0.500
```

Its total moment is 4.6 Bohr magnetons per cell. For the density of states at the Fermi level, the calculation gives 5.3 states/eV/cell. The calculation puts the formation energy from raw total energies at 7.4 eV per formula unit. Its symmetry is P4/mmm (123).

No. 8
Material: RbLaCdCl6
Method: DFT, PBE
State: relaxed

POSCAR file:
```
RbLaCdCl6
1.0
-0.862 4.548 5.462
-4.779 -0.141 -5.329
-7.619 -9.968 7.097
Rb Cl La Cd
2 12 2 2
Direct
0.000 0.000 0.500
0.000 0.000 0.000
0.619 0.633 0.642
0.633 0.014 0.358
0.986 0.619 0.358
0.014 0.381 0.642
0.986 0.367 0.142
0.633 0.619 0.142
0.367 0.986 0.642
0.367 0.381 0.858
0.014 0.633 0.858
0.381 0.014 0.142
0.381 0.367 0.358
0.619 0.986 0.858
0.333 0.667 0.250
0.667 0.333 0.750
0.333 0.667 0.750
0.667 0.333 0.250
```

Its total moment is 0.0 Bohr magnetons per cell. For the density of states at the Fermi level, the calculation gives 0.0 states/eV/cell. The calculation puts the formation energy from raw total energies at -16.9 eV per formula unit. Its symmetry is P-31c (163).

No. 9
Material: Sb2WAu
Method: DFT, PBE
State: relaxed

POSCAR file:
```
Sb2WAu
1.0
4.450 0.000 0.000
0.000 3.542 0.037
0.000 1.752 5.314
Au Sb W
1 2 1
Direct
0.500 0.537 0.809
0.000 0.987 0.899
0.500 0.272 0.328
0.000 0.703 0.465
```

Its total moment is 0.0 Bohr magnetons per cell. For the density of states at the Fermi level, the calculation gives 3.2 states/eV/cell. The calculation puts the formation energy from raw total energies at 1.5 eV per formula unit. Its symmetry is Pm (6).

No. 10
Material: Pr6YCd
Method: DFT, PBE
State: relaxed

POSCAR file:
```
Pr6YCd
1.0
5.083 0.000 0.000
0.000 5.083 0.000
0.000 0.000 10.374
Y Pr Cd
1 6 1
Direct
0.000 0.000 0.500
0.500 0.500 0.000
0.500 0.000 0.245
0.500 0.500 0.500
0.000 0.500 0.245
0.500 0.000 0.755
0.000 0.500 0.755
0.000 0.000 0.000
```

Its total moment is 0.0 Bohr magnetons per cell. For the density of states at the Fermi level, the calculation gives 9.6 states/eV/cell. Its formation energy is -0.046 eV/atom. Its symmetry is P4/mmm (123).

No. 11
Material: TmBi2PdO6
Method: DFT, PBE
State: relaxed

POSCAR file:
```
TmBi2PdO6
1.0
-1.117 -5.685 1.619
2.791 -4.211 -2.616
4.044 -3.225 3.202
O Tm Pd Bi
6 1 1 2
Direct
0.620 0.163 0.269
0.970 0.590 0.261
0.165 0.981 0.238
0.647 0.130 0.759
0.457 0.661 0.790
0.113 0.467 0.744
0.813 0.803 0.573
0.314 0.324 0.043
0.532 0.518 0.412
0.031 0.025 0.926
```

Its total moment is 1.0 Bohr magnetons per cell. For the density of states at the Fermi level, the calculation gives 0.1 states/eV/cell. The calculation puts the formation energy from raw total energies at -15.2 eV per formula unit. Its symmetry is P1 (1).

No. 12
Material: Tb8Co2Sn
Method: DFT, PBE
State: relaxed

POSCAR file:
```
Tb8Co2Sn
1.0
-3.945 -2.646 2.401
2.147 -5.716 -5.002
4.738 0.656 6.279
Co Tb Sn
2 8 1
Direct
0.000 0.305 0.695
0.000 0.695 0.305
0.930 0.671 0.930
0.300 0.609 0.609
0.500 0.251 0.749
0.500 0.749 0.251
0.930 0.930 0.671
0.070 0.329 0.070
0.700 0.391 0.391
0.070 0.070 0.329
0.500 0.000 0.000
```

Its total moment is 0.0 Bohr magnetons per cell. For the density of states at the Fermi level, the calculation gives 13.0 states/eV/cell. Its formation energy is -0.172 eV/atom. Its symmetry is C2/m (12).

No. 13
Material: Zr2TaSi
Method: DFT, PBE
State: relaxed

POSCAR file:
```
Zr2TaSi
1.0
-0.559 -1.841 9.170
-1.487 -4.637 8.005
1.600 -3.999 8.321
Si Zr Ta
1 2 1
Direct
0.496 0.496 0.496
0.004 0.004 0.004
0.242 0.242 0.242
0.758 0.758 0.758
```

Its total moment is 0.0 Bohr magnetons per cell. For the density of states at the Fermi level, the calculation gives 3.9 states/eV/cell. The calculation puts the formation energy from raw total energies at 0.1 eV per formula unit. Its symmetry is R3m (160).